# FePdPbAu | OQMD via LeMat-Bulk | PBE | relaxed
# magnetic moment = 2.9 μB/f.u.
# uncorrected energy = -4.99 eV/atom
# excess energy over the best structure of this formula in the dataset = 0.0 kJ/mol of atoms
# mass density = 13.158 g/cm³
data_FePdPbAu
_cell_length_a 6.5880
_cell_length_b 6.5880
_cell_length_c 6.5880
_cell_angle_alpha 90.00
_cell_angle_beta 90.00
_cell_angle_gamma 90.00
_space_group_name_H-M_alt 'F -4 3 m'
_space_group_IT_number 216
_space_group_name_Hall 'F -4 2 3'
loop_
_atom_site_label
_atom_site_type_symbol
_atom_site_fract_x
_atom_site_fract_y
_atom_site_fract_z
Fe1 Fe 0.0000 0.0000 0.0000
Pd1 Pd 0.0000 0.0000 0.5000
Pb1 Pb 0.2500 0.2500 0.7500
Au1 Au 0.2500 0.2500 0.2500

=====

# InP5Au3 | OQMD via LeMat-Bulk | PBE | relaxed
# uncorrected energy = -4.09 eV/atom
# mass density = 6.644 g/cm³
data_InP5Au3
_cell_length_a 7.1425
_cell_length_b 7.1425
_cell_length_c 4.8685
_cell_angle_alpha 90.00
_cell_angle_beta 90.00
_cell_angle_gamma 120.00
_space_group_name_H-M_alt 'P 6/m m m'
_space_group_IT_number 191
_space_group_name_Hall '-P 6 2'
loop_
_atom_site_label
_atom_site_type_symbol
_atom_site_fract_x
_atom_site_fract_y
_atom_site_fract_z
In1 In 0.0000 0.0000 0.0000
P1 P 0.0000 0.0000 0.5000
P2 P 0.3333 0.6667 0.2259
Au1 Au 0.0000 0.5000 0.5000

=====

# Pt2Pb2O5 | OQMD via LeMat-Bulk | PBE | relaxed
# magnetic moment = 0.0 μB/f.u.
# uncorrected energy = -5.03 eV/atom
# excess energy over the best structure of this formula in the dataset = 34.3 kJ/mol of atoms
# mass density = 11.432 g/cm³
data_Pt2Pb2O5
_cell_length_a 3.6233
_cell_length_b 3.6233
_cell_length_c 9.7869
_cell_angle_alpha 90.00
_cell_angle_beta 90.00
_cell_angle_gamma 90.00
_space_group_name_H-M_alt 'P 4/m m m'
_space_group_IT_number 123
_space_group_name_Hall '-P 4 2'
loop_
_atom_site_label
_atom_site_type_symbol
_atom_site_fract_x
_atom_site_fract_y
_atom_site_fract_z
Pt1 Pt 0.0000 0.0000 0.0000
Pt2 Pt 0.0000 0.0000 0.5000
Pb1 Pb 0.5000 0.5000 0.2339
O1 O 0.0000 0.5000 0.3787
O2 O 0.5000 0.5000 0.0000

=====

# TaTlGa | OQMD via LeMat-Bulk | PBE | relaxed
# magnetic moment = 1.0 μB/f.u.
# uncorrected energy = -4.85 eV/atom
# excess energy over the best structure of this formula in the dataset = 7.7 kJ/mol of atoms
# mass density = 11.519 g/cm³
data_TaTlGa
_cell_length_a 6.4021
_cell_length_b 6.4021
_cell_length_c 6.4021
_cell_angle_alpha 90.00
_cell_angle_beta 90.00
_cell_angle_gamma 90.00
_space_group_name_H-M_alt 'F -4 3 m'
_space_group_IT_number 216
_space_group_name_Hall 'F -4 2 3'
loop_
_atom_site_label
_atom_site_type_symbol
_atom_site_fract_x
_atom_site_fract_y
_atom_site_fract_z
Ta1 Ta 0.0000 0.0000 0.0000
Tl1 Tl 0.0000 0.0000 0.5000
Ga1 Ga 0.2500 0.2500 0.2500

=====

Q: What is the uncorrected energy in the second record?
A: -4.09 eV/atom

=====

Q: What is the mass density in the second record?
A: 6.644 g/cm³

=====

Q: The highest mass density belongs to which entry?
A: FePdPbAu